14
Lattice="-4.204 4.216 3.070 -5.255 -3.778 -2.008 2.281 -6.258 5.805" Properties=species:S:1:pos:R:3 comment="KPrGeS4 | OQMD via LeMat-Bulk | GGA-PBE | relaxed" final_energy_ev_per_atom=-5.121 space_group="P2_1, No. 4" m_tot_mub_per_atom=0.0002 pbc="T T T"
Pr -4.959 -6.267 1.903
S -3.566 -4.019 3.422
Ge -1.891 -1.091 6.269
S -4.195 -1.273 1.144
S -0.721 -2.921 6.588
S -0.801 -2.727 1.224
S -6.508 -3.188 5.593
S -1.921 -0.586 4.092
S 0.148 -5.459 3.751
K -1.010 0.663 1.157
Pr -4.845 -1.442 3.960
S -7.517 -0.499 3.043
K -3.650 -4.674 6.672
Ge -2.996 -3.083 1.473

***

12
Lattice="2.300 -7.251 0.000 2.300 7.251 0.000 0.000 0.000 11.594" Properties=species:S:1:pos:R:3 comment="KPrGeSe3 | OQMD via LeMat-Bulk | GGA-PBE | relaxed" final_energy_ev_per_atom=-4.606 space_group="Cmcm, No. 63" m_tot_mub_per_atom=0.0005 pbc="T T T"
Pr 0.000 0.000 0.000
Se 2.300 -6.280 2.899
K 2.300 -3.576 8.696
Se 2.300 -1.885 5.122
Se 2.300 1.885 10.920
K 2.300 3.576 2.899
Se 2.300 -1.885 0.675
Ge 2.300 0.444 8.696
Se 2.300 1.885 6.472
Se 2.300 6.280 8.696
Pr 0.000 0.000 5.797
Ge 2.300 -0.444 2.899

***

12
Lattice="2.398 -7.707 0.000 2.398 7.707 0.000 0.000 0.000 12.286" Properties=species:S:1:pos:R:3 comment="KPrGeTe3 | OQMD via LeMat-Bulk | GGA-PBE | relaxed" final_energy_ev_per_atom=-4.189 space_group="Cmcm, No. 63" m_tot_mub_per_atom=0.0000 pbc="T T T"
Te 2.398 -2.098 5.447
Te 2.398 6.594 9.215
Pr 0.000 0.000 6.143
Te 2.398 -6.594 3.072
Ge 2.398 -0.504 3.072
K 2.398 3.899 3.072
Te 2.398 2.098 11.590
Ge 2.398 0.504 9.215
Pr 0.000 0.000 0.000
Te 2.398 -2.098 0.697
Te 2.398 2.098 6.840
K 2.398 -3.899 9.215

***

3
Lattice="-4.323 1.218 1.431 -2.680 2.784 -2.700 -3.789 -1.768 -2.177" Properties=species:S:1:pos:R:3 comment="KGePt | OQMD via LeMat-Bulk | GGA-PBE | relaxed" final_energy_ev_per_atom=-3.673 space_group="F-43m, No. 216" m_tot_mub_per_atom=0.0005 pbc="T T T"
K -8.094 1.676 -2.585
Ge -2.698 0.559 -0.862
Pt 0.000 0.000 0.000

***

8
Lattice="-2.153 -1.150 6.026 -6.308 -1.023 -1.196 5.990 -2.366 -0.885" Properties=species:S:1:pos:R:3 comment="KGe2Pt5 | OQMD via LeMat-Bulk | GGA-PBE | relaxed" final_energy_ev_per_atom=-5.460 space_group="Immm, No. 71" m_tot_mub_per_atom=0.0003 pbc="T T T"
Pt -2.219 -1.435 2.676
Pt 1.919 -1.758 2.570
Pt -0.251 -3.104 1.268
K 0.000 0.000 0.000
Ge -2.283 -2.240 0.172
Pt -4.766 -2.089 4.130
Pt 2.295 -2.450 -0.185
Ge -0.187 -2.299 3.772

***

12
Lattice="6.688 0.000 0.000 0.000 8.110 0.000 -4.854 0.000 6.437" Properties=species:S:1:pos:R:3 comment="KGePt | OQMD via LeMat-Bulk | GGA-PBE | relaxed" final_energy_ev_per_atom=-4.371 space_group="P2_1/c, No. 14" m_tot_mub_per_atom=0.0007 pbc="T T T"
K 2.554 4.062 4.451
Pt 1.524 7.113 2.409
Ge 1.751 1.393 2.124
Pt -0.903 5.052 5.628
K -3.146 0.006 5.204
K -0.719 4.049 1.985
Pt 2.737 3.058 0.809
Ge 0.084 6.717 4.313
Ge -0.676 2.662 5.342
Pt 0.310 0.997 4.027
K 4.981 8.104 1.233
Ge 2.511 5.448 1.095

***

3
Lattice="0.000 3.425 3.425 3.425 0.000 3.425 3.425 3.425 0.000" Properties=species:S:1:pos:R:3 comment="KGePt | OQMD via LeMat-Bulk | GGA-PBE | relaxed" final_energy_ev_per_atom=-2.903 space_group="F-43m, No. 216" m_tot_mub_per_atom=0.0763 pbc="T T T"
Pt 5.137 5.137 5.137
Ge 1.712 1.712 1.712
K 0.000 0.000 0.000

***

15
Lattice="-4.206 -1.361 4.087 3.243 -3.926 3.211 2.956 6.802 5.220" Properties=species:S:1:pos:R:3 comment="K2Ge2Pt3S8 | OQMD via LeMat-Bulk | GGA-PBE | relaxed" final_energy_ev_per_atom=-4.616 space_group="C2, No. 5" m_tot_mub_per_atom=0.0001 pbc="T T T"
S -0.466 -3.625 5.747
Pt 0.028 -2.819 3.589
S -0.741 3.596 7.482
S 1.450 2.356 4.623
S 2.973 1.802 7.759
S 2.647 5.074 6.749
S 1.564 -1.163 4.460
Pt 1.660 0.529 6.181
S -2.315 -0.343 5.631
S 0.712 -0.899 7.876
Pt -1.893 1.752 6.599
K 0.323 1.621 9.543
Ge 0.773 4.161 5.951
Ge -1.181 -1.820 6.849
K -0.727 0.719 3.258

***

3
Lattice="-1.228 -3.621 3.412 -1.751 1.329 4.629 -4.911 -0.818 1.214" Properties=species:S:1:pos:R:3 comment="KPuGe | OQMD via LeMat-Bulk | GGA-PBE | relaxed" final_energy_ev_per_atom=-6.146 space_group="F-43m, No. 216" m_tot_mub_per_atom=1.6833 pbc="T T T"
Ge -1.972 -0.777 2.314
K -5.917 -2.332 6.941
Pu 0.000 0.000 0.000

***

12
Lattice="-4.262 2.234 -4.859 -7.219 -2.514 0.665 -4.530 6.627 2.850" Properties=species:S:1:pos:R:3 comment="K4PuGeS6 | OQMD via LeMat-Bulk | GGA-PBE | relaxed" final_energy_ev_per_atom=-5.045 space_group="P1, No. 1" m_tot_mub_per_atom=0.3326 pbc="T T T"
K -5.221 3.815 -3.171
S -12.459 4.086 -0.694
S -7.293 2.704 0.790
S -5.836 -1.067 0.064
Ge -10.903 5.102 -1.859
K -10.644 2.604 1.741
S -8.948 3.850 -1.770
K -8.128 0.283 -2.061
K -7.843 5.931 0.582
S -3.318 2.319 -0.814
S -10.328 7.176 -1.443
Pu -5.139 1.279 0.567

***

12
Lattice="1.810 -7.873 0.000 1.810 7.873 0.000 0.000 0.000 10.785" Properties=species:S:1:pos:R:3 comment="KZrGeS3 | OQMD via LeMat-Bulk | GGA-PBE | relaxed" final_energy_ev_per_atom=-5.371 space_group="Cmcm, No. 63" m_tot_mub_per_atom=0.1102 pbc="T T T"
S 1.810 1.825 10.690
S 1.810 1.825 5.487
K 1.810 2.946 2.696
Ge 1.810 1.880 8.089
K 1.810 -2.946 8.089
Zr 0.000 0.000 0.000
S 1.810 7.772 2.696
Zr 0.000 0.000 5.392
Ge 1.810 -1.880 2.696
S 1.810 -1.825 0.094
S 1.810 -7.772 8.089
S 1.810 -1.825 5.298

***

12
Lattice="2.218 -7.336 0.000 2.218 7.336 0.000 0.000 0.000 11.336" Properties=species:S:1:pos:R:3 comment="KTbGeSe3 | OQMD via LeMat-Bulk | GGA-PBE | relaxed" final_energy_ev_per_atom=-4.568 space_group="Cmcm, No. 63" m_tot_mub_per_atom=0.0005 pbc="T T T"
K 2.218 -3.618 8.502
Se 2.218 1.864 10.801
Se 2.218 -1.864 5.133
Tb 0.000 0.000 0.000
K 2.218 3.618 2.834
Ge 2.218 0.508 8.502
Se 2.218 -6.374 2.834
Se 2.218 -1.864 0.536
Se 2.218 1.864 6.204
Ge 2.218 -0.508 2.834
Se 2.218 6.374 8.502
Tb 0.000 0.000 5.668